Entry from the Alexandria database: a geometry-optimized YAgSbAu structure (PBE).

The space group is F-43m (No. 216) and the conventional cell measures 7.146, 7.146 and 7.146 Å, with angles of 90.00, 90.00 and 90.00 degrees. The distinct sites, in fractional coordinates, are Y at (0.000, 0.000, 0.000), Ag at (0.000, 0.000, 0.500), Sb at (0.250, 0.250, 0.250) and Au at (0.250, 0.250, 0.750).

The formation energy without anion corrections is -0.50 eV per atom. Its density of states at the Fermi level is 0.28 states/eV per atom. Its total moment is 0.00 μB per cell.